Record 1
Entry from Alexandria via LeMat-Bulk: a relaxed structure of LiErU2As4 (PBE-GGA).

space-group type = No. 10
crystal system = monoclinic
E_form = -0.833 eV per atom

a b c (Å): 4.077 7.040 7.016
angles (deg): 109.48 90.00 90.00
Element x y z (fractional)
Li 0.500 0.500 0.000
Er 0.000 0.000 0.000
U 0.500 0.000 0.500
U 0.000 0.500 0.500
As 0.500 0.252 0.251
As 0.500 0.748 0.749
As 0.000 0.247 0.743
As 0.000 0.753 0.257



Record 2
Entry from Alexandria via LeMat-Bulk: a relaxed structure of TbPrEr5 (PBE-GGA).

space-group type = No. 71
E above lowest polymorph = 6.43 eV per formula unit
crystal system = orthorhombic
E_form = 1.118 eV per atom

a b c (Å): 5.761 7.888 7.888
angles (deg): 66.19 68.58 68.58
Element x y z (fractional)
Tb 0.000 0.000 0.000
Pr 0.500 0.500 0.500
Er 0.500 0.177 0.823
Er 0.500 0.823 0.177
Er 0.745 0.255 0.255
Er 0.255 0.745 0.745
Er 0.000 0.500 0.500



Record 3
Entry from Alexandria via LeMat-Bulk: a relaxed structure of Li2NdCdHg2 (PBE-GGA).

space-group type = No. 164
crystal system = trigonal
E_form = -0.371 eV per atom

a b c (Å): 4.745 4.745 6.849
angles (deg): 90.00 90.00 120.00
Element x y z (fractional)
Li 0.333 0.667 0.657
Li 0.667 0.333 0.343
Nd 0.000 0.000 0.000
Cd 0.000 0.000 0.500
Hg 0.333 0.667 0.243
Hg 0.667 0.333 0.757



Record 4
Entry from Alexandria via LeMat-Bulk: a relaxed structure of CaZnS2Cl (PBE-GGA).

space-group type = No. 123
E above lowest polymorph = 0.00 eV per formula unit
formation energy without anion corrections = -0.875 eV per atom
crystal system = tetragonal

a b c (Å): 4.666 4.666 5.055
angles (deg): 90.00 90.00 90.00
Element x y z (fractional)
S 0.000 0.500 0.000
S 0.500 0.000 0.000
Zn 0.000 0.000 0.000
Ca 0.500 0.500 0.500
Cl 0.000 0.000 0.500



Record 5
Entry from Alexandria via LeMat-Bulk: a relaxed structure of La3Sm2Er5 (PBE-GGA).

space-group type = No. 15
crystal system = monoclinic
E_form = 0.180 eV per atom

a b c (Å): 9.283 9.278 11.250
angles (deg): 123.64 123.65 69.93
Element x y z (fractional)
La 0.234 0.984 0.969
La 0.766 0.016 0.031
La 0.728 0.472 0.249
La 0.272 0.528 0.751
La 0.020 0.777 0.249
La 0.980 0.223 0.751
Sm 0.766 0.011 0.735
Sm 0.234 0.989 0.265
Sm 0.469 0.724 0.735
Sm 0.531 0.276 0.265
Er 0.275 0.525 0.050
Er 0.725 0.475 0.950
Er 0.025 0.775 0.550
Er 0.530 0.280 0.559
Er 0.975 0.225 0.450
Er 0.470 0.720 0.441
Er 0.854 0.602 0.725
Er 0.146 0.398 0.275
Er 0.372 0.123 0.725
Er 0.628 0.877 0.275



Record 6
Entry from Alexandria via LeMat-Bulk: a relaxed structure of Pr4YHo2Er2 (PBE-GGA).

space-group type = No. 12
crystal system = monoclinic
E_form = 0.023 eV per atom

a b c (Å): 5.100 8.081 8.081
angles (deg): 107.42 90.00 108.39
Element x y z (fractional)
Pr 0.777 0.553 0.668
Pr 0.223 0.447 0.332
Pr 0.554 0.107 0.332
Pr 0.446 0.893 0.668
Y 0.000 0.000 0.000
Ho 0.332 0.664 0.001
Ho 0.668 0.336 0.999
Er 0.888 0.777 0.330
Er 0.112 0.223 0.670



Record 7
Entry from Alexandria via LeMat-Bulk: a relaxed structure of BePt2W (PBE-GGA).

space-group type = No. 8
crystal system = monoclinic
E_form = -0.226 eV per atom

a b c (Å): 4.654 4.654 4.815
angles (deg): 82.31 82.31 34.37
Element x y z (fractional)
Be 0.261 0.261 0.174
W 0.496 0.496 0.534
Pt 0.993 0.993 0.057
Pt 0.749 0.749 0.734



Record 8
Entry from Alexandria via LeMat-Bulk: a relaxed structure of TlNi5Se8 (PBE-GGA).

space-group type = No. 8
formation energy without anion corrections = -0.271 eV per atom
crystal system = monoclinic

a b c (Å): 3.602 8.372 9.425
angles (deg): 104.97 101.02 90.00
Element x y z (fractional)
Tl 0.500 0.500 0.999
Ni 0.297 0.676 0.594
Ni 0.703 0.324 0.407
Ni 0.339 0.006 0.678
Ni 0.661 0.994 0.322
Ni 0.000 0.000 0.000
Se 0.241 0.156 0.481
Se 0.759 0.844 0.519
Se 0.173 0.487 0.346
Se 0.827 0.513 0.654
Se 0.090 0.841 0.179
Se 0.910 0.159 0.821
Se 0.431 0.836 0.861
Se 0.570 0.165 0.139



Record 9
Entry from Alexandria via LeMat-Bulk: a relaxed structure of BaTaCd2 (PBE-GGA).

space-group type = No. 166
E above lowest polymorph = 0.80 eV per formula unit
crystal system = trigonal
E_form = 0.519 eV per atom

a b c (Å): 11.249 11.249 11.249
angles (deg): 16.43 16.43 16.43
Element x y z (fractional)
Cd 0.011 0.011 0.011
Cd 0.489 0.489 0.489
Ba 0.250 0.250 0.250
Ta 0.750 0.750 0.750



Record 10
Entry from Alexandria via LeMat-Bulk: a relaxed structure of CsY2TlCd (PBE-GGA).

space-group type = No. 123
crystal system = tetragonal
E_form = 1.285 eV per atom

a b c (Å): 5.747 6.044 5.747
angles (deg): 90.00 90.00 90.00
Element x y z (fractional)
Cs 0.000 0.000 0.000
Y 0.000 0.000 0.500
Y 0.500 0.000 0.000
Tl 0.000 0.500 0.000
Cd 0.500 0.500 0.500



Record 11
Entry from Alexandria via LeMat-Bulk: a relaxed structure of ScAlIn2Ga (PBE-GGA).

space-group type = No. 123
crystal system = tetragonal
E_form = 0.384 eV per atom

a b c (Å): 5.135 5.168 5.135
angles (deg): 90.00 90.00 90.00
Element x y z (fractional)
Sc 0.000 0.500 0.000
Al 0.500 0.500 0.500
Ga 0.000 0.000 0.000
In 0.000 0.000 0.500
In 0.500 0.000 0.000



Record 12
Entry from Alexandria via LeMat-Bulk: a relaxed structure of Sm4GaAgHg2 (PBE-GGA).

space-group type = No. 166
crystal system = trigonal
E_form = -0.434 eV per atom

a b c (Å): 5.285 5.285 9.203
angles (deg): 73.31 73.31 60.00
Element x y z (fractional)
Sm 0.373 0.373 0.881
Sm 0.877 0.877 0.369
Sm 0.123 0.123 0.631
Sm 0.627 0.627 0.119
Ga 0.000 0.000 0.000
Ag 0.500 0.500 0.500
Hg 0.751 0.751 0.746
Hg 0.249 0.249 0.254



no.,spin magnetization (μB/atom),DOS at the Fermi energy (states/eV per cell)
1,0.488,12.2
2,0.000,8.3
3,0.000,4.8
4,0.000,2.3
5,0.000,30.8
6,0.000,13.8
7,0.000,2.1
8,0.000,8.8
9,0.000,3.8
10,0.000,6.4
11,0.000,3.4
12,0.102,9.0